No. 1
# SCAN Ta5W, PBEsol geometry
# N(E_F) ... 1.5 states/eV/f.u.
# Formation enthalpy at 0 K ... 0.2230 eV per atom
# E above lowest polymorph ... 1.56 eV per formula unit
data_Ta5W
_cell_length_a 7.543
_cell_length_b 7.543
_cell_length_c 7.543
_cell_angle_alpha 90.00
_cell_angle_beta 90.00
_cell_angle_gamma 90.00
_space_group_name_H-M_alt 'F -4 3 m'
_space_group_IT_number 216
_space_group_name_Hall 'F -4 2 3'
loop_
_atom_site_label
_atom_site_type_symbol
_atom_site_fract_x
_atom_site_fract_y
_atom_site_fract_z
Ta1 Ta 0.000 0.000 0.000
Ta2 Ta 0.125 0.125 0.375
W1 W 0.250 0.250 0.750

No. 2
# SCAN TaW2, PBEsol geometry
# N(E_F) ... 1.1 states/eV/f.u.
# Formation enthalpy at 0 K ... -0.0999 eV per atom
data_TaW2
_cell_length_a 10.096
_cell_length_b 3.180
_cell_length_c 6.386
_cell_angle_alpha 90.00
_cell_angle_beta 108.60
_cell_angle_gamma 90.00
_space_group_name_H-M_alt 'C 1 2/m 1'
_space_group_IT_number 12
loop_
_space_group_symop_operation_xyz
'x,y,z'
'-x,-y,-z'
'-x,y,-z'
'x,-y,z'
'x+1/2,y+1/2,z'
'-x+1/2,-y+1/2,-z'
'-x+1/2,y+1/2,-z'
'x+1/2,-y+1/2,z'
loop_
_atom_site_label
_atom_site_type_symbol
_atom_site_fract_x
_atom_site_fract_y
_atom_site_fract_z
Ta1 Ta 0.165 0.000 0.085
W1 W 0.000 0.500 0.255
W2 W 0.165 0.000 0.580

No. 3
# SCAN TaW5, PBEsol geometry
# N(E_F) ... 2.4 states/eV/f.u.
# Formation enthalpy at 0 K ... -0.0717 eV per atom
data_TaW5
_cell_length_a 10.037
_cell_length_b 3.168
_cell_length_c 6.339
_cell_angle_alpha 90.00
_cell_angle_beta 108.44
_cell_angle_gamma 90.00
_space_group_name_H-M_alt 'C 1 2/m 1'
_space_group_IT_number 12
loop_
_space_group_symop_operation_xyz
'x,y,z'
'-x,-y,-z'
'-x,y,-z'
'x,-y,z'
'x+1/2,y+1/2,z'
'-x+1/2,-y+1/2,-z'
'-x+1/2,y+1/2,-z'
'x+1/2,-y+1/2,z'
loop_
_atom_site_label
_atom_site_type_symbol
_atom_site_fract_x
_atom_site_fract_y
_atom_site_fract_z
Ta1 Ta 0.000 0.000 0.000
W1 W 0.000 0.000 0.500
W2 W 0.168 0.500 0.336
W3 W 0.168 0.500 0.832

No. 4
# SCAN Ta5W, PBEsol geometry
# N(E_F) ... 6.8 states/eV/f.u.
# Formation enthalpy at 0 K ... -0.0374 eV per atom
# E above lowest polymorph ... 0.00 eV per formula unit
data_Ta5W
_cell_length_a 10.323
_cell_length_b 3.241
_cell_length_c 6.530
_cell_angle_alpha 90.00
_cell_angle_beta 108.44
_cell_angle_gamma 90.00
_space_group_name_H-M_alt 'C 1 2/m 1'
_space_group_IT_number 12
loop_
_space_group_symop_operation_xyz
'x,y,z'
'-x,-y,-z'
'-x,y,-z'
'x,-y,z'
'x+1/2,y+1/2,z'
'-x+1/2,-y+1/2,-z'
'-x+1/2,y+1/2,-z'
'x+1/2,-y+1/2,z'
loop_
_atom_site_label
_atom_site_type_symbol
_atom_site_fract_x
_atom_site_fract_y
_atom_site_fract_z
Ta1 Ta 0.000 0.000 0.000
Ta2 Ta 0.162 0.500 0.336
Ta3 Ta 0.165 0.500 0.828
W1 W 0.000 0.000 0.500

No. 5
# SCAN TaW2, PBEsol geometry
# N(E_F) ... 1.2 states/eV/f.u.
# Formation enthalpy at 0 K ... -0.0739 eV per atom
data_TaW2
_cell_length_a 3.187
_cell_length_b 4.524
_cell_length_c 13.489
_cell_angle_alpha 90.00
_cell_angle_beta 90.00
_cell_angle_gamma 90.00
_space_group_name_H-M_alt 'F m m m'
_space_group_IT_number 69
_space_group_name_Hall '-F 2 2'
loop_
_atom_site_label
_atom_site_type_symbol
_atom_site_fract_x
_atom_site_fract_y
_atom_site_fract_z
Ta1 Ta 0.000 0.000 0.000
W1 W 0.000 0.000 0.331

No. 6
# SCAN Ta4W3, PBEsol geometry
# N(E_F) ... 6.1 states/eV/f.u.
# Formation enthalpy at 0 K ... -0.0822 eV per atom
# E above lowest polymorph ... 0.00 eV per formula unit
data_Ta4W3
_cell_length_a 3.203
_cell_length_b 3.203
_cell_length_c 22.729
_cell_angle_alpha 90.00
_cell_angle_beta 90.00
_cell_angle_gamma 90.00
_space_group_name_H-M_alt 'I 4/m m m'
_space_group_IT_number 139
_space_group_name_Hall '-I 4 2'
loop_
_atom_site_label
_atom_site_type_symbol
_atom_site_fract_x
_atom_site_fract_y
_atom_site_fract_z
Ta1 Ta 0.000 0.000 0.070
Ta2 Ta 0.000 0.000 0.355
W1 W 0.000 0.000 0.216
W2 W 0.000 0.000 0.500

No. 7
# SCAN Ta7W, PBEsol geometry
# N(E_F) ... 9.9 states/eV/f.u.
# Formation enthalpy at 0 K ... -0.0196 eV per atom
data_Ta7W
_cell_length_a 9.2211
_cell_length_b 9.2211
_cell_length_c 11.3133
_cell_angle_alpha 90.00
_cell_angle_beta 90.00
_cell_angle_gamma 120.00
_space_group_name_H-M_alt 'R -3 m'
_space_group_IT_number 166
_space_group_name_Hall '-R 3 2"'
loop_
_atom_site_label
_atom_site_type_symbol
_atom_site_fract_x
_atom_site_fract_y
_atom_site_fract_z
Ta1 Ta 0.0000 0.0000 0.1272
Ta2 Ta 0.0035 0.5018 0.1242
Ta3 Ta 0.0039 0.5020 0.3742
W1 W 0.0000 0.0000 0.3766

No. 8
# SCAN Ta3W13, PBEsol geometry
# N(E_F) ... 6.3 states/eV/f.u.
# Formation enthalpy at 0 K ... -0.0714 eV per atom
data_Ta3W13
_cell_length_a 6.340
_cell_length_b 8.972
_cell_length_c 8.981
_cell_angle_alpha 90.00
_cell_angle_beta 90.00
_cell_angle_gamma 90.00
_space_group_name_H-M_alt 'A m m 2'
_space_group_IT_number 38
loop_
_space_group_symop_operation_xyz
'x,y,z'
'-x,-y,z'
'-x,y,z'
'x,-y,z'
'x,y+1/2,z+1/2'
'-x,-y+1/2,z+1/2'
'-x,y+1/2,z+1/2'
'x,-y+1/2,z+1/2'
loop_
_atom_site_label
_atom_site_type_symbol
_atom_site_fract_x
_atom_site_fract_y
_atom_site_fract_z
Ta1 Ta 0.000 0.000 0.000
Ta2 Ta 0.251 0.000 0.746
W1 W 0.000 0.000 0.495
W2 W 0.000 0.248 0.247
W3 W 0.251 0.000 0.249
W4 W 0.251 0.249 0.498
W5 W 0.500 0.000 0.495
W6 W 0.500 0.000 0.999
W7 W 0.500 0.248 0.247